Entry from Alexandria via LeMat-Bulk: a geometry-optimized RbCdSi structure (PBE).

Summary:
Energy above the lowest structure with this stoichiometry ... 0.062 eV/atom
Formation energy from raw total energies ... 0.080 eV per atom

Lattice parameters (Å, degrees): 3.835 7.051 7.569 75.29 75.38 74.40
Space group P-1 (No. 2)
One atom of each set of equivalent atoms:
Rb 0.071 0.103 0.252 [2 per cell]
Cd 0.371 0.584 0.165 [2 per cell]
Si 0.286 0.384 0.542 [2 per cell]

Entry from Alexandria via LeMat-Bulk: a geometry-optimized Rb2CdSi structure (PBE).

Summary:
Formation energy from raw total energies ... 0.185 eV per atom

Lattice parameters (Å, degrees): 13.249 13.249 4.930 90.00 90.00 90.00
Space group I-42d (No. 122)
One atom of each set of equivalent atoms:
Rb 0.072 0.250 0.125 [8 per cell]
Cd 0.000 0.000 0.500 [4 per cell]
Si 0.000 0.000 0.000 [4 per cell]